# TbPa2Sn9 | Alexandria | PBE | relaxed
data_TbPa2Sn9
_chemical_formula_sum 'Tb1 Pa2 Sn9'
_space_group_name_H-M_alt 'P 4/m m m'
_space_group_IT_number 123
_space_group_name_Hall '-P 4 2'
_cell_length_a 4.6620
_cell_length_b 4.6620
_cell_length_c 14.0291
_cell_angle_alpha 90.00
_cell_angle_beta 90.00
_cell_angle_gamma 90.00
loop_
_atom_site_label
_atom_site_type_symbol
_atom_site_fract_x
_atom_site_fract_y
_atom_site_fract_z
Tb1 Tb 0.0000 0.0000 0.0000
Pa1 Pa 0.0000 0.0000 0.3373
Sn1 Sn 0.0000 0.5000 0.1694
Sn2 Sn 0.0000 0.5000 0.5000
Sn3 Sn 0.5000 0.5000 0.0000
Sn4 Sn 0.5000 0.5000 0.3344
# DFT total energy: -63.731 eV per cell
# size of the total moment: 0.00 μB/f.u.

***

# TbThPaSn | Alexandria | PBE | relaxed
data_TbThPaSn
_chemical_formula_sum 'Tb4 Th4 Pa4 Sn4'
_space_group_name_H-M_alt 'F -4 3 m'
_space_group_IT_number 216
_space_group_name_Hall 'F -4 2 3'
_cell_length_a 7.6616
_cell_length_b 7.6616
_cell_length_c 7.6616
_cell_angle_alpha 90.00
_cell_angle_beta 90.00
_cell_angle_gamma 90.00
loop_
_atom_site_label
_atom_site_type_symbol
_atom_site_fract_x
_atom_site_fract_y
_atom_site_fract_z
Tb1 Tb 0.0000 0.0000 0.0000
Th1 Th 0.0000 0.0000 0.5000
Pa1 Pa 0.2500 0.2500 0.2500
Sn1 Sn 0.2500 0.2500 0.7500
# DFT total energy: -101.617 eV per cell
# size of the total moment: 1.96 μB/f.u.

***

# TbTmPaSn | Alexandria | PBE | relaxed
data_TbTmPaSn
_chemical_formula_sum 'Tb4 Tm4 Pa4 Sn4'
_space_group_name_H-M_alt 'F -4 3 m'
_space_group_IT_number 216
_space_group_name_Hall 'F -4 2 3'
_cell_length_a 7.5193
_cell_length_b 7.5193
_cell_length_c 7.5193
_cell_angle_alpha 90.00
_cell_angle_beta 90.00
_cell_angle_gamma 90.00
loop_
_atom_site_label
_atom_site_type_symbol
_atom_site_fract_x
_atom_site_fract_y
_atom_site_fract_z
Tb1 Tb 0.0000 0.0000 0.0000
Tm1 Tm 0.0000 0.0000 0.5000
Pa1 Pa 0.2500 0.2500 0.2500
Sn1 Sn 0.2500 0.2500 0.7500
# DFT total energy: -90.047 eV per cell
# size of the total moment: 1.41 μB/f.u.

***

- size of the total moment of number 3 (TbTmPaSn)?
  1.41 μB/f.u.